Record 1
The following is a PBE calculation of a relaxed structure of SiSbC3, from the Alexandria database.

Geometry as extended XYZ:
```
5
Lattice="-0.3404 -3.8128 0.6125 -0.0283 -0.6124 -3.8279 3.8616 -0.3405 0.0260" Properties=species:S:1:pos:R:3 pbc="T T T"
Si 0.0000 0.0000 0.0000
Sb 1.7465 -2.3829 -1.5947
C -0.1702 -1.9064 0.3063
C -0.0141 -0.3062 -1.9139
C 1.9308 -0.1703 0.0130
```

**Formation energy from raw total energies**: 1.933 eV per atom
**ΔE to the lowest computed polymorph**: 0.000 eV per atom
**D(E_F)**: 3.42 states/eV/cell


Record 2
The following is a PBE calculation of a relaxed structure of Si3SbC, from the Alexandria database.

Geometry as extended XYZ:
```
5
Lattice="-2.8656 4.0278 1.5837 -4.1031 -1.9240 -2.5310 -1.3769 -2.6492 4.2461" Properties=species:S:1:pos:R:3 pbc="T T T"
Si -1.4328 2.0139 0.7919
Si -0.6884 -1.3246 2.1230
Si -2.0515 -0.9620 -1.2655
C -4.1728 -0.2727 1.6494
Sb 0.0000 0.0000 0.0000
```

**Formation energy from raw total energies**: 2.645 eV per atom
**ΔE to the lowest computed polymorph**: 1.709 eV per atom
**D(E_F)**: 3.38 states/eV/cell


Record 3
The following is a PBE calculation of a relaxed structure of Tb4SiSbC, from the Alexandria database.

Geometry as extended XYZ:
```
14
Lattice="6.7398 0.0000 0.0000 0.0000 6.7514 0.0000 -3.3699 0.0000 7.7261" Properties=species:S:1:pos:R:3 pbc="T T T"
Si 0.0000 1.6878 1.7811
Si 3.3699 5.0635 5.9451
Tb 0.0000 5.0635 6.3063
Tb 3.3699 1.6878 1.4198
Tb 1.6849 3.3757 3.8631
Tb -1.6849 0.0000 3.8631
Tb 3.3699 1.6878 6.4625
Tb 0.0000 5.0635 1.2636
Tb 1.6849 0.0000 3.8631
Tb -1.6849 3.3757 3.8631
C 0.0000 5.0635 3.7995
C 3.3699 1.6878 3.9266
Sb 3.3699 5.0635 1.6549
Sb 0.0000 1.6878 6.0712
```

**Formation energy from raw total energies**: -0.634 eV per atom
**D(E_F)**: 7.12 states/eV/cell


Record 4
The following is a PBE calculation of a relaxed structure of Y4SiSbC, from the Alexandria database.

Geometry as extended XYZ:
```
14
Lattice="6.7078 0.0000 0.0000 0.0000 6.7184 0.0000 -3.3539 0.0000 7.7029" Properties=species:S:1:pos:R:3 pbc="T T T"
Y 3.3539 1.6796 6.4453
Y -1.6770 0.0000 3.8515
Y 1.6770 3.3592 3.8515
Y 3.3539 1.6796 1.4113
Y -1.6770 3.3592 3.8515
Y 0.0000 5.0388 6.2916
Y 1.6770 0.0000 3.8515
Y 0.0000 5.0388 1.2576
Si 0.0000 1.6796 1.7667
Si 3.3539 5.0388 5.9363
C 3.3539 1.6796 3.9061
C 0.0000 5.0388 3.7968
Sb 3.3539 5.0388 1.6455
Sb 0.0000 1.6796 6.0574
```

**Formation energy from raw total energies**: -0.676 eV per atom
**D(E_F)**: 7.83 states/eV/cell


Record 5
The following is a PBE calculation of a relaxed structure of ZnSi2SbC, from the Alexandria database.

Geometry as extended XYZ:
```
5
Lattice="4.5218 0.0000 0.0000 0.0000 5.2848 0.0000 0.0000 0.0000 4.5218" Properties=species:S:1:pos:R:3 pbc="T T T"
Sb 0.0000 2.6424 0.0000
Si 0.0000 0.0000 2.2609
Si 2.2609 0.0000 0.0000
Zn 0.0000 0.0000 0.0000
C 2.2609 2.6424 2.2609
```

**Formation energy from raw total energies**: 1.993 eV per atom
**D(E_F)**: 2.07 states/eV/cell


Record 6
The following is a PBE calculation of a relaxed structure of Sm6Sb3C, from the Alexandria database.

Geometry as extended XYZ:
```
20
Lattice="7.2394 0.0000 0.0000 0.0000 9.4703 0.2222 0.0000 -1.8967 9.2811" Properties=species:S:1:pos:R:3 pbc="T T T"
Sb 7.1092 0.1633 2.5729
Sb 3.4896 2.4716 0.7333
Sb 2.8874 2.5253 5.7570
Sb 6.5071 5.0483 3.7463
Sb 3.4896 7.4103 6.9304
Sb 7.1092 5.1020 8.7700
Sm 1.2160 2.2116 8.3869
Sm 5.0249 2.2203 3.5222
Sm 1.5100 6.9312 2.2458
Sm 5.0249 4.6357 6.5530
Sm 4.8357 5.3620 1.1164
Sm 1.2160 -0.1083 5.4759
Sm 1.4053 5.3533 5.9811
Sm 4.7951 8.9598 0.6291
Sm 1.1754 -1.3862 8.8742
Sm 4.8357 7.6819 4.0274
Sm 1.4053 2.9379 2.9503
Sm 5.1297 0.6424 7.2575
C 0.1978 0.2657 7.5578
C 3.8175 7.3079 1.9455
```

**Formation energy from raw total energies**: -0.609 eV per atom
**D(E_F)**: 17.80 states/eV/cell


Number 1: E_tot -5.51 eV per atom. Number 2: E_tot -3.28 eV per atom. Number 3: E_tot -5.96 eV per atom. Number 4: E_tot -7.05 eV per atom. Number 5: E_tot -3.10 eV per atom. Number 6: E_tot -5.60 eV per atom.